Arrangement 1

## Zn2CoNi2 (PBE)

Data for Zn2CoNi2 after structural relaxation.

a = 3.383 Å, b = 3.383 Å, c = 11.846 Å
α = 90.00°, β = 90.00°, γ = 90.00°
Space group I4/mmm (No. 139)
One atom of each set of equivalent atoms:
Zn: 0.000 0.500 0.250 [4 per cell]
Co: 0.000 0.000 0.000 [2 per cell]
Ni: 0.000 0.000 0.405 [4 per cell]

Properties
volume	13.56	Å³ per atom
M_tot	0.560	μB per atom
density	7.52	g/cm³

=====

Arrangement 2

## Zn2CoNi2 (PBE)

Data for Zn2CoNi2 after structural relaxation.

a = 6.861 Å, b = 6.861 Å, c = 2.652 Å
α = 90.00°, β = 90.00°, γ = 90.00°
Space group P4/mbm (No. 127)
One atom of each set of equivalent atoms:
Zn: 0.134 0.366 0.000 [4 per cell]
Co: 0.000 0.000 0.000 [2 per cell]
Ni: 0.166 0.666 0.500 [4 per cell]

Properties
volume	12.49	Å³ per atom
M_tot	0.368	μB per atom
density	8.17	g/cm³

=====

Short version: arrangement 1 is the least stable of them.

=====

Arrangement 1

## Zn3CoNi (PBE)

Data for Zn3CoNi after structural relaxation.

a = 4.440 Å, b = 4.440 Å, c = 4.440 Å
α = 90.00°, β = 90.00°, γ = 90.00°
Space group Pm-3m (No. 221)
One atom of each set of equivalent atoms:
Zn: 0.000 0.000 0.500 [3 per cell]
Co: 0.000 0.000 0.000 [1 per cell]
Ni: 0.500 0.500 0.500 [1 per cell]

Properties
volume	17.50	Å³ per atom
M_tot	0.000	μB per atom
density	5.96	g/cm³

=====

Arrangement 2

## Zn3CoNi (PBE)

Data for Zn3CoNi after structural relaxation.

a = 4.443 Å, b = 4.443 Å, c = 4.443 Å
α = 90.00°, β = 90.00°, γ = 90.00°
Space group Pm-3m (No. 221)
One atom of each set of equivalent atoms:
Zn: 0.000 0.000 0.500 [3 per cell]
Co: 0.500 0.500 0.500 [1 per cell]
Ni: 0.000 0.000 0.000 [1 per cell]

Properties
volume	17.54	Å³ per atom
M_tot	0.373	μB per atom
density	5.94	g/cm³

=====

Short version: arrangement 1 is the least stable of them.

=====

Arrangement 1

## Zn5CoNi (PBE)

Data for Zn5CoNi after structural relaxation.

a = 6.905 Å, b = 8.869 Å, c = 6.882 Å
α = 90.00°, β = 108.93°, γ = 90.00°
Space group C2/c (No. 15)
One atom of each set of equivalent atoms:
Zn: 0.000 0.029 0.250 [4 per cell]
Zn: 0.125 0.278 0.125 [8 per cell]
Zn: 0.184 0.490 0.892 [8 per cell]
Co: 0.250 0.250 0.500 [4 per cell]
Ni: 0.000 0.250 0.750 [4 per cell]

Properties
volume	14.24	Å³ per atom
M_tot	0.000	μB per atom
density	7.41	g/cm³

=====

Arrangement 2

## Zn5CoNi (PBE)

Data for Zn5CoNi after structural relaxation.

a = 4.170 Å, b = 4.170 Å, c = 5.672 Å
α = 90.00°, β = 90.00°, γ = 90.00°
Space group P4/mmm (No. 123)
One atom of each set of equivalent atoms:
Zn: 0.000 0.000 0.000 [1 per cell]
Zn: 0.000 0.500 0.272 [4 per cell]
Co: 0.000 0.000 0.500 [1 per cell]
Ni: 0.500 0.500 0.000 [1 per cell]

Properties
volume	14.09	Å³ per atom
M_tot	0.000	μB per atom
density	7.49	g/cm³

=====

Short version: arrangement 1 is the least stable of them.